Below is an optimized crystal structure of Na2La3NpN6, with properties calculated at the PBE level.

Properties
E_form (uncorrected) = -933 meV/atom

Cell and atoms, written as CIF:
```
data_Na2La3NpN6
_symmetry_space_group_name_H-M 'P 1'
_symmetry_Int_Tables_number 1
_symmetry_space_group_name_Hall 'P 1'
_cell_length_a 6.3153
_cell_length_b 6.3153
_cell_length_c 6.1283
_cell_angle_alpha 99.93
_cell_angle_beta 99.93
_cell_angle_gamma 119.55
loop_
_atom_site_label
_atom_site_type_symbol
_atom_site_fract_x
_atom_site_fract_y
_atom_site_fract_z
_atom_site_occupancy
Na1 Na 0.3350 0.6650 0.0000 1
Na2 Na 0.6650 0.3350 0.0000 1
La1 La 0.1657 0.8343 0.5000 1
La2 La 0.8343 0.1657 0.5000 1
La3 La 0.5000 0.5000 0.5000 1
Np1 Np 0.0000 0.0000 0.0000 1
N1 N 0.9233 0.6591 0.7643 1
N2 N 0.8072 0.8072 0.2471 1
N3 N 0.0767 0.3409 0.2357 1
N4 N 0.6591 0.9233 0.7643 1
N5 N 0.1928 0.1928 0.7529 1
N6 N 0.3409 0.0767 0.2357 1
```

---

Below is an optimized crystal structure of GaSi2As2, with properties calculated at the PBE level.

Properties
E_form (uncorrected) = 365 meV/atom
DOS(E_F) = 2.2 states/eV/f.u.

Cell and atoms, written as CIF:
```
data_GaSi2As2
_symmetry_space_group_name_H-M 'P 1'
_symmetry_Int_Tables_number 1
_symmetry_space_group_name_Hall 'P 1'
_cell_length_a 4.2034
_cell_length_b 4.2034
_cell_length_c 6.9384
_cell_angle_alpha 72.37
_cell_angle_beta 72.37
_cell_angle_gamma 90.00
loop_
_atom_site_label
_atom_site_type_symbol
_atom_site_fract_x
_atom_site_fract_y
_atom_site_fract_z
_atom_site_occupancy
As1 As 0.3652 0.3652 0.2695 1
As2 As 0.6348 0.6348 0.7305 1
Si1 Si 0.7500 0.2500 0.5000 1
Si2 Si 0.2500 0.7500 0.5000 1
Ga1 Ga 0.0000 0.0000 0.0000 1
```

---

The evaluated magnetic moment for the records listed, in turn: 0.0 0.0 μB per formula unit.